## DyGaHg2 (PBE)

Data for a relaxed DyGaHg2 crystal.

The structure in POSCAR format:
```
DyGaHg2
1.0
3.381 0.000 0.000
-1.691 2.928 0.000
0.000 0.000 32.304
Dy Ga Hg
3 3 6
direct
0.000 0.000 0.000
0.333 0.667 0.667
0.667 0.333 0.333
0.000 0.000 0.500
0.333 0.667 0.167
0.667 0.333 0.833
0.000 0.000 0.095
0.000 0.000 0.905
0.333 0.667 0.572
0.333 0.667 0.761
0.667 0.333 0.239
0.667 0.333 0.428
```

Summary:
ΔH_f (0 K): 0.1244 eV per atom
M_tot: 0.00 μB/f.u.
N(E_F): 7.29 states/eV per cell
calculated density: 9.9 g/cm³
space-group type: R-3m, No. 166